# NaNbZn2Ga PBE relaxed
data_NaNbZn2Ga
_cell_length_a 4.532
_cell_length_b 4.532
_cell_length_c 4.722
_cell_angle_alpha 90.00
_cell_angle_beta 90.00
_cell_angle_gamma 90.00
_symmetry_space_group_name_H-M 'P 4/m m m'
_symmetry_Int_Tables_number 123
_symmetry_space_group_name_Hall '-P 4 2'
loop_
_atom_site_label
_atom_site_type_symbol
_atom_site_fract_x
_atom_site_fract_y
_atom_site_fract_z
Na1 Na 0.000 0.000 0.000
Nb1 Nb 0.500 0.500 0.500
Zn1 Zn 0.000 0.500 0.000
Ga1 Ga 0.000 0.000 0.500
# Crystal system: tetragonal
# ΔE_f in eV per atom: 1.14
# E_tot in eV per atom: -2.2503